No. 1
5
Lattice="6.2102 0.0000 0.0000 0.0000 6.2102 0.0000 0.0000 0.0000 5.0962" Properties=species:S:1:pos:R:3 comment="Sr2MnTlGe PBE relaxed" spacegroup=P4/mmm m_tot_mub_per_cell=2.8 energy_ev_per_atom=-3.433 n_ef_per_ev_atom=0.927 pbc="T T T"
Sr 0.0000 3.1051 0.0000
Sr 3.1051 0.0000 0.0000
Mn 0.0000 0.0000 2.5481
Tl 0.0000 0.0000 0.0000
Ge 3.1051 3.1051 2.5481



No. 2
10
Lattice="4.3898 0.0000 0.0000 0.0000 4.3898 0.0000 0.0000 0.0000 10.7580" Properties=species:S:1:pos:R:3 comment="Sr2MnZn3Ge4 PBE relaxed" spacegroup=P-4m2 m_tot_mub_per_cell=4.1 energy_ev_per_atom=-3.823 n_ef_per_ev_atom=0.305 pbc="T T T"
Sr 0.0000 2.1949 2.6735
Sr 2.1949 0.0000 8.0844
Mn 0.0000 0.0000 5.3790
Zn 0.0000 2.1949 9.3131
Zn 2.1949 0.0000 1.4448
Zn 2.1949 2.1949 5.3790
Ge 0.0000 0.0000 0.0000
Ge 0.0000 2.1949 6.7788
Ge 2.1949 0.0000 3.9791
Ge 2.1949 2.1949 0.0000



No. 3
5
Lattice="4.6177 0.0000 0.0000 0.0000 4.6177 0.0000 0.0000 0.0000 4.7898" Properties=species:S:1:pos:R:3 comment="SrMnZnGe2 PBE relaxed" spacegroup=P4/mmm m_tot_mub_per_cell=0.4 energy_ev_per_atom=-4.481 n_ef_per_ev_atom=0.531 pbc="T T T"
Sr 0.0000 0.0000 0.0000
Mn 2.3088 2.3088 2.3949
Zn 2.3088 2.3088 0.0000
Ge 0.0000 2.3088 2.3949
Ge 2.3088 0.0000 2.3949



No. 4
5
Lattice="4.7809 0.0000 0.0000 0.0000 4.7809 0.0000 0.0000 0.0000 4.5696" Properties=species:S:1:pos:R:3 comment="SrMnZn2Ge PBE relaxed" spacegroup=P4/mmm m_tot_mub_per_cell=0.6 energy_ev_per_atom=-3.728 n_ef_per_ev_atom=0.468 pbc="T T T"
Sr 0.0000 0.0000 0.0000
Mn 2.3904 2.3904 2.2848
Zn 0.0000 2.3904 2.2848
Zn 2.3904 0.0000 2.2848
Ge 2.3904 2.3904 0.0000



No. 5
5
Lattice="5.0116 0.0000 0.0000 0.0000 5.0116 0.0000 0.0000 0.0000 5.0116" Properties=species:S:1:pos:R:3 comment="TaMnGe3 PBE relaxed" spacegroup=Pm-3m m_tot_mub_per_cell=0.7 energy_ev_per_atom=-5.664 n_ef_per_ev_atom=1.962 pbc="T T T"
Ta 0.0000 0.0000 0.0000
Mn 2.5058 2.5058 2.5058
Ge 0.0000 0.0000 2.5058
Ge 0.0000 2.5058 0.0000
Ge 2.5058 0.0000 0.0000



No. 6
19
Lattice="5.5308 3.1932 3.3724 -5.5308 3.1932 3.3724 0.0000 -6.3865 3.3724" Properties=species:S:1:pos:R:3 comment="Ta12MnGe6 PBE relaxed" spacegroup=R-3 m_tot_mub_per_cell=0.0 energy_ev_per_atom=-9.177 n_ef_per_ev_atom=0.972 pbc="T T T"
Ta -1.7688 0.6013 1.4009
Ta 0.3637 -1.8325 1.4009
Ta -1.1643 -1.4319 3.8113
Ta 1.4051 1.2312 1.4009
Ta -0.6579 1.7242 3.8113
Ta -1.8222 0.2924 6.3060
Ta 1.8222 -0.2924 3.8113
Ta 0.6579 -1.7242 6.3060
Ta -1.4052 -1.2312 8.7164
Ta 1.1643 1.4319 6.3060
Ta -0.3637 1.8325 8.7164
Ta 1.7688 -0.6013 8.7164
Mn 0.0000 0.0000 0.0000
Ge -3.0043 0.4141 3.7778
Ge 1.1435 -2.8088 3.7778
Ge -1.8607 -2.3947 6.3395
Ge 1.8607 2.3947 3.7778
Ge -1.1435 2.8088 6.3395
Ge 3.0043 -0.4141 6.3395



No. 7
7
Lattice="7.4002 -1.4947 0.0000 7.4002 1.4947 0.0000 -2.1431 0.0000 5.3223" Properties=species:S:1:pos:R:3 comment="Ta2MnGe4 PBE relaxed" spacegroup=C2/m m_tot_mub_per_cell=0.7 energy_ev_per_atom=-7.331 n_ef_per_ev_atom=0.553 pbc="T T T"
Ta 3.0877 0.0000 1.3175
Ta 9.5696 0.0000 4.0048
Mn 0.0000 0.0000 0.0000
Ge -0.0753 0.0000 4.1396
Ge 4.4638 0.0000 3.6362
Ge 8.1935 0.0000 1.6861
Ge 12.7326 0.0000 1.1827



No. 8
5
Lattice="-1.9843 1.9843 5.8549 1.9843 -1.9843 5.8549 1.9843 1.9843 -5.8549" Properties=species:S:1:pos:R:3 comment="TbTaMnGe2 PBE relaxed" spacegroup=I-4m2 m_tot_mub_per_cell=1.7 energy_ev_per_atom=-7.419 n_ef_per_ev_atom=0.672 pbc="T T T"
Tb 0.0000 0.0000 0.0000
Ta 1.9843 0.0000 2.9275
Mn 0.0000 1.9843 2.9275
Ge 0.0000 0.0000 4.5844
Ge 0.0000 0.0000 7.1255